*w*
Below is a geometry-optimized Pm4YMg structure, with properties calculated at the GGA-PBE level.

The density is 6.0 Mg/m³.

POSCAR file:
```
Pm4YMg
1.0
5.380 -3.108 0.000
5.380 3.108 0.000
-3.640 0.000 11.527
Pm Y Mg
8 2 2
Direct
0.162 0.676 0.501 Pm
0.252 0.413 0.750 Pm
0.324 0.838 0.999 Pm
0.413 0.252 0.250 Pm
0.587 0.748 0.750 Pm
0.676 0.162 0.001 Pm
0.748 0.587 0.250 Pm
0.838 0.324 0.499 Pm
0.000 0.500 0.000 Y
0.500 0.000 0.500 Y
0.085 0.915 0.250 Mg
0.915 0.085 0.750 Mg
```

***

*x*
Below is a geometry-optimized Pm4YMg structure, with properties calculated at the GGA-PBE level.

The density is 5.9 Mg/m³.

POSCAR file:
```
Pm4YMg
1.0
3.659 0.000 0.000
0.000 3.659 0.000
0.000 0.000 14.473
Pm Y Mg
4 1 1
Direct
0.000 0.000 0.151 Pm
0.000 0.000 0.849 Pm
0.500 0.500 0.325 Pm
0.500 0.500 0.675 Pm
0.000 0.000 0.500 Y
0.500 0.500 0.000 Mg
```

***

The relative energies come out as *w* 30; *x* 0, with values in meV per atom.

***

*w*
Below is a geometry-optimized Pm2Mg3Zn4 structure, with properties calculated at the GGA-PBE level.

The density is 5.4 Mg/m³.

POSCAR file:
```
Pm2Mg3Zn4
1.0
4.207 -2.428 0.000
4.207 2.428 0.000
-0.006 0.000 9.408
Pm Mg Zn
2 3 4
Direct
0.167 0.167 0.208 Pm
0.833 0.833 0.792 Pm
0.167 0.167 0.575 Mg
0.500 0.500 0.000 Mg
0.833 0.833 0.425 Mg
0.166 0.166 0.896 Zn
0.500 0.500 0.359 Zn
0.500 0.500 0.641 Zn
0.834 0.834 0.104 Zn
```

***

*x*
Below is a geometry-optimized Pm2Mg3Zn4 structure, with properties calculated at the GGA-PBE level.

The density is 5.3 Mg/m³.

POSCAR file:
```
Pm2Mg3Zn4
1.0
3.028 -8.450 0.000
3.028 8.450 0.000
0.000 0.000 7.676
Pm Mg Zn
4 6 8
Direct
0.097 0.903 0.899 Pm
0.403 0.597 0.399 Pm
0.597 0.403 0.601 Pm
0.903 0.097 0.101 Pm
0.000 0.000 0.500 Mg
0.014 0.486 0.750 Mg
0.486 0.014 0.250 Mg
0.500 0.500 0.000 Mg
0.514 0.986 0.750 Mg
0.986 0.514 0.250 Mg
0.162 0.838 0.514 Zn
0.179 0.321 0.750 Zn
0.321 0.179 0.250 Zn
0.338 0.662 0.014 Zn
0.662 0.338 0.986 Zn
0.679 0.821 0.750 Zn
0.821 0.679 0.250 Zn
0.838 0.162 0.486 Zn
```

***

The relative energies come out as *w* 0; *x* 72, with values in meV per atom.